1.
The following is a meta-GGA SCAN calculation of a crystal of KInTe relaxed with PBEsol, from Alexandria via LeMat-Bulk.

Unit cell a=5.5864 b=5.5864 c=5.5864 alpha=60.00 beta=60.00 gamma=60.00
Last column: nearest neighbours and their distance in Å.
Fractional coordinates of all 3 atoms:
Te 0.2500 0.2500 0.2500  4 In 3.42, 4 K 3.42
K 0.5000 0.5000 0.5000  4 Te 3.42
In 0.0000 0.0000 0.0000  4 Te 3.42

Output
Magnetization, μB per cell: 0.0
Distance to the lowest polymorph of the same formula, meV/atom: 130
Total DFT energy (no corrections), eV/atom: -26.865
Formation energy (no corrections), eV per atom: -0.54

=====

2.
The following is a meta-GGA SCAN calculation of a crystal of V2Cu3O8 relaxed with PBEsol, from Alexandria via LeMat-Bulk.

Unit cell a=6.2149 b=6.3746 c=7.9041 alpha=90.00 beta=90.00 gamma=110.48
Last column: nearest neighbours and their distance in Å.
Fractional coordinates of all 26 atoms:
Cu 0.7335 0.1010 0.2561  4 O 1.90-1.96
Cu 0.0000 0.0000 0.0000  4 O 1.89-1.93
Cu 0.0000 0.5000 0.5000  4 O 1.89-1.93
Cu 0.2665 0.3990 0.7561  4 O 1.90-1.96
Cu 0.2665 0.8990 0.7439  4 O 1.90-1.96
Cu 0.7335 0.6010 0.2439  4 O 1.90-1.96
O 0.7671 0.1359 0.0103  1 V 1.75, 2 Cu 1.93-1.96
O 0.2329 0.8641 0.9897  1 V 1.75, 2 Cu 1.93-1.96
O 0.7533 0.5709 0.0057  1 V 1.68
O 0.4920 0.2617 0.7747  1 V 1.71, 1 Cu 1.90
O 0.2329 0.3641 0.5103  1 V 1.75, 2 Cu 1.93-1.96
O 0.5080 0.7383 0.2253  1 V 1.71, 1 Cu 1.90
O 0.9776 0.9546 0.7629  1 V 1.78, 2 Cu 1.89-1.95
O 0.7671 0.6359 0.4897  1 V 1.75, 2 Cu 1.93-1.96
O 0.9776 0.4546 0.7371  1 V 1.78, 2 Cu 1.89-1.95
O 0.4920 0.7617 0.7253  1 V 1.71, 1 Cu 1.90
O 0.0224 0.5454 0.2629  1 V 1.78, 2 Cu 1.89-1.95
O 0.0224 0.0454 0.2371  1 V 1.78, 2 Cu 1.89-1.95
O 0.7533 0.0709 0.4943  1 V 1.68
O 0.2467 0.4291 0.9943  1 V 1.68
O 0.5080 0.2383 0.2747  1 V 1.71, 1 Cu 1.90
O 0.2467 0.9291 0.5057  1 V 1.68
V 0.7462 0.8531 0.6172  4 O 1.68-1.78
V 0.2538 0.6469 0.1172  4 O 1.68-1.78
V 0.7462 0.3531 0.8828  4 O 1.68-1.78
V 0.2538 0.1469 0.3828  4 O 1.68-1.78

Output
Magnetization, μB per cell: 6.0
Distance to the lowest polymorph of the same formula, meV/atom: 0
Total DFT energy (no corrections), eV/atom: -11.779
Formation energy (no corrections), eV per atom: -1.75

=====

3.
The following is a meta-GGA SCAN calculation of a crystal of Sr3LaSc relaxed with PBEsol, from Alexandria via LeMat-Bulk.

Unit cell a=5.9879 b=5.9879 c=5.9879 alpha=90.00 beta=90.00 gamma=90.00
Last column: nearest neighbours and their distance in Å.
Fractional coordinates of all 5 atoms:
Sr 0.0000 0.5000 0.0000  2 La 2.99
Sr 0.0000 0.0000 0.5000  2 La 2.99
Sr 0.5000 0.0000 0.0000  2 La 2.99
La 0.0000 0.0000 0.0000  6 Sr 2.99
Sc 0.5000 0.5000 0.5000  12 Sr 4.23

Output
Magnetization, μB per cell: 0.0
DOS(E_F), states/eV/atom: 0.42
Total DFT energy (no corrections), eV/atom: -23.912
Energy of formation from the pure elements, eV/f.u.: 4.6

=====

4.
The following is a meta-GGA SCAN calculation of a crystal of KTe2OsN relaxed with PBEsol, from Alexandria via LeMat-Bulk.

Unit cell a=3.6717 b=5.6642 c=5.6642 alpha=90.00 beta=90.00 gamma=90.00
Last column: nearest neighbours and their distance in Å.
Fractional coordinates of all 5 atoms:
Te 0.0000 0.5000 0.0000  2 Os 2.83
Te 0.0000 0.0000 0.5000  2 Os 2.83
N 0.5000 0.0000 0.0000  2 Os 1.84
K 0.5000 0.5000 0.5000  8 Te 3.38, 2 K 3.67
Os 0.0000 0.0000 0.0000  2 N 1.84

Output
Magnetization, μB per cell: 0.0
DOS(E_F), states/eV/atom: 0.67
Total DFT energy (no corrections), eV/atom: -32.779
Formation energy (no corrections), eV per atom: 0.02